## Pr4N (GGA-PBE)

Data for a relaxed structure of Pr4N.

Values from the calculation:
Crystal system = cubic
Formation energy without anion corrections = -408 meV per atom
Final energy = -5.8963 eV per atom
Space-group type = Pm-3m, No. 221

Cell and atoms, written as POSCAR:
```
Pr4N
1.0
5.2156 0.0000 0.0000
0.0000 5.2156 0.0000
0.0000 0.0000 5.2156
Pr N
4 1
Direct
0.0000 0.0000 0.0000
0.0000 0.5000 0.5000
0.5000 0.5000 0.0000
0.5000 0.0000 0.5000
0.5000 0.5000 0.5000
```